A plane-wave DFT calculation with GGA-PBEsol was carried out for an optimized crystal structure of CaReC3.

Structure (CIF):
```
data_CaReC3
_chemical_formula_sum 'Ca1 Re1 C3'
_cell_length_a 3.987
_cell_length_b 3.987
_cell_length_c 3.987
_cell_angle_alpha 90.00
_cell_angle_beta 90.00
_cell_angle_gamma 90.00
_space_group_name_H-M_alt 'P 1'
_space_group_IT_number 1
loop_
_space_group_symop_operation_xyz
'x,y,z'
loop_
_atom_site_label
_atom_site_fract_x
_atom_site_fract_y
_atom_site_fract_z
Ca1 0.000 0.000 0.000
Re1 0.500 0.500 0.500
C1 0.000 0.000 0.500
C2 0.000 0.500 0.000
C3 0.500 0.000 0.000
```

Energy of formation from the pure elements ... 3.810 eV per atom

***

A plane-wave DFT calculation with GGA-PBEsol was carried out for an optimized crystal structure of CaC3S.

Structure (CIF):
```
data_CaC3S
_chemical_formula_sum 'Ca1 C3 S1'
_cell_length_a 3.740
_cell_length_b 3.740
_cell_length_c 3.740
_cell_angle_alpha 90.00
_cell_angle_beta 90.00
_cell_angle_gamma 90.00
_space_group_name_H-M_alt 'P 1'
_space_group_IT_number 1
loop_
_space_group_symop_operation_xyz
'x,y,z'
loop_
_atom_site_label
_atom_site_fract_x
_atom_site_fract_y
_atom_site_fract_z
Ca1 0.000 0.000 0.000
C1 0.000 0.500 0.500
C2 0.500 0.000 0.500
C3 0.500 0.500 0.000
S1 0.500 0.500 0.500
```

ΔE_f (raw) ... 1.855 eV per atom

***

A plane-wave DFT calculation with GGA-PBEsol was carried out for an optimized crystal structure of CaTiCS2.

Structure (CIF):
```
data_CaTiCS2
_chemical_formula_sum 'Ca1 Ti1 C1 S2'
_cell_length_a 4.670
_cell_length_b 4.670
_cell_length_c 3.896
_cell_angle_alpha 90.00
_cell_angle_beta 90.00
_cell_angle_gamma 90.00
_space_group_name_H-M_alt 'P 1'
_space_group_IT_number 1
loop_
_space_group_symop_operation_xyz
'x,y,z'
loop_
_atom_site_label
_atom_site_fract_x
_atom_site_fract_y
_atom_site_fract_z
Ca1 0.000 0.000 0.000
Ti1 0.500 0.500 0.000
C1 0.500 0.500 0.500
S1 0.000 0.500 0.500
S2 0.500 0.000 0.500
```

ΔE_f (raw) ... -0.005 eV per atom

***

A plane-wave DFT calculation with GGA-PBEsol was carried out for an optimized crystal structure of Ca2SbC.

Structure (CIF):
```
data_Ca2SbC
_chemical_formula_sum 'Ca2 Sb1 C1'
_cell_length_a 5.007
_cell_length_b 5.007
_cell_length_c 5.007
_cell_angle_alpha 60.00
_cell_angle_beta 60.00
_cell_angle_gamma 60.00
_space_group_name_H-M_alt 'P 1'
_space_group_IT_number 1
loop_
_space_group_symop_operation_xyz
'x,y,z'
loop_
_atom_site_label
_atom_site_fract_x
_atom_site_fract_y
_atom_site_fract_z
Ca1 0.250 0.250 0.250
Ca2 0.750 0.750 0.750
Sb1 0.000 0.000 0.000
C1 0.500 0.500 0.500
```

ΔE_f (raw) ... 0.421 eV per atom

***

A plane-wave DFT calculation with GGA-PBEsol was carried out for an optimized crystal structure of CaSb2TeC.

Structure (CIF):
```
data_CaSb2TeC
_chemical_formula_sum 'Ca1 Sb2 Te1 C1'
_cell_length_a 5.665
_cell_length_b 5.665
_cell_length_c 5.550
_cell_angle_alpha 90.00
_cell_angle_beta 90.00
_cell_angle_gamma 90.00
_space_group_name_H-M_alt 'P 1'
_space_group_IT_number 1
loop_
_space_group_symop_operation_xyz
'x,y,z'
loop_
_atom_site_label
_atom_site_fract_x
_atom_site_fract_y
_atom_site_fract_z
Ca1 0.000 0.000 0.000
Sb1 0.000 0.500 0.000
Sb2 0.500 0.000 0.000
Te1 0.000 0.000 0.500
C1 0.500 0.500 0.500
```

ΔE_f (raw) ... 1.920 eV per atom

***

A plane-wave DFT calculation with GGA-PBEsol was carried out for an optimized crystal structure of CaScC3.

Structure (CIF):
```
data_CaScC3
_chemical_formula_sum 'Ca1 Sc1 C3'
_cell_length_a 4.187
_cell_length_b 4.187
_cell_length_c 4.187
_cell_angle_alpha 90.00
_cell_angle_beta 90.00
_cell_angle_gamma 90.00
_space_group_name_H-M_alt 'P 1'
_space_group_IT_number 1
loop_
_space_group_symop_operation_xyz
'x,y,z'
loop_
_atom_site_label
_atom_site_fract_x
_atom_site_fract_y
_atom_site_fract_z
Ca1 0.000 0.000 0.000
Sc1 0.500 0.500 0.500
C1 0.000 0.500 0.500
C2 0.500 0.000 0.500
C3 0.500 0.500 0.000
```

Energy relative to the lowest polymorph listed for this composition ... 0.0 meV per atom
Energy of formation from the pure elements ... 1.487 eV per atom

***

A plane-wave DFT calculation with GGA-PBEsol was carried out for an optimized crystal structure of CaScC3.

Structure (CIF):
```
data_CaScC3
_chemical_formula_sum 'Ca1 Sc1 C3'
_cell_length_a 4.156
_cell_length_b 4.156
_cell_length_c 4.156
_cell_angle_alpha 90.00
_cell_angle_beta 90.00
_cell_angle_gamma 90.00
_space_group_name_H-M_alt 'P 1'
_space_group_IT_number 1
loop_
_space_group_symop_operation_xyz
'x,y,z'
loop_
_atom_site_label
_atom_site_fract_x
_atom_site_fract_y
_atom_site_fract_z
Ca1 0.000 0.000 0.000
Sc1 0.500 0.500 0.500
C1 0.000 0.000 0.500
C2 0.000 0.500 0.000
C3 0.500 0.000 0.000
```

Energy relative to the lowest polymorph listed for this composition ... 948.7 meV per atom
Energy of formation from the pure elements ... 2.436 eV per atom

***

A plane-wave DFT calculation with GGA-PBEsol was carried out for an optimized crystal structure of Ca2CSe.

Structure (CIF):
```
data_Ca2CSe
_chemical_formula_sum 'Ca2 C1 Se1'
_cell_length_a 4.788
_cell_length_b 4.788
_cell_length_c 4.788
_cell_angle_alpha 60.00
_cell_angle_beta 60.00
_cell_angle_gamma 60.00
_space_group_name_H-M_alt 'P 1'
_space_group_IT_number 1
loop_
_space_group_symop_operation_xyz
'x,y,z'
loop_
_atom_site_label
_atom_site_fract_x
_atom_site_fract_y
_atom_site_fract_z
Ca1 0.250 0.250 0.250
Ca2 0.750 0.750 0.750
C1 0.000 0.000 0.000
Se1 0.500 0.500 0.500
```

ΔE_f (raw) ... -0.058 eV per atom

***

A plane-wave DFT calculation with GGA-PBEsol was carried out for an optimized crystal structure of CaCSe3.

Structure (CIF):
```
data_CaCSe3
_chemical_formula_sum 'Ca1 C1 Se3'
_cell_length_a 5.453
_cell_length_b 5.453
_cell_length_c 5.453
_cell_angle_alpha 90.00
_cell_angle_beta 90.00
_cell_angle_gamma 90.00
_space_group_name_H-M_alt 'P 1'
_space_group_IT_number 1
loop_
_space_group_symop_operation_xyz
'x,y,z'
loop_
_atom_site_label
_atom_site_fract_x
_atom_site_fract_y
_atom_site_fract_z
Ca1 0.000 0.000 0.000
C1 0.500 0.500 0.500
Se1 0.000 0.000 0.500
Se2 0.000 0.500 0.000
Se3 0.500 0.000 0.000
```

ΔE_f (raw) ... 1.630 eV per atom

***

A plane-wave DFT calculation with GGA-PBEsol was carried out for an optimized crystal structure of Ca3CSe.

Structure (CIF):
```
data_Ca3CSe
_chemical_formula_sum 'Ca3 C1 Se1'
_cell_length_a 5.305
_cell_length_b 5.305
_cell_length_c 5.305
_cell_angle_alpha 90.00
_cell_angle_beta 90.00
_cell_angle_gamma 90.00
_space_group_name_H-M_alt 'P 1'
_space_group_IT_number 1
loop_
_space_group_symop_operation_xyz
'x,y,z'
loop_
_atom_site_label
_atom_site_fract_x
_atom_site_fract_y
_atom_site_fract_z
Ca1 0.000 0.000 0.500
Ca2 0.000 0.500 0.000
Ca3 0.500 0.000 0.000
C1 0.500 0.500 0.500
Se1 0.000 0.000 0.000
```

ΔE_f (raw) ... 0.429 eV per atom

***

A plane-wave DFT calculation with GGA-PBEsol was carried out for an optimized crystal structure of Ca3SiC.

Structure (CIF):
```
data_Ca3SiC
_chemical_formula_sum 'Ca3 Si1 C1'
_cell_length_a 5.510
_cell_length_b 5.510
_cell_length_c 5.510
_cell_angle_alpha 90.00
_cell_angle_beta 90.00
_cell_angle_gamma 90.00
_space_group_name_H-M_alt 'P 1'
_space_group_IT_number 1
loop_
_space_group_symop_operation_xyz
'x,y,z'
loop_
_atom_site_label
_atom_site_fract_x
_atom_site_fract_y
_atom_site_fract_z
Ca1 0.000 0.000 0.500
Ca2 0.000 0.500 0.000
Ca3 0.500 0.000 0.000
Si1 0.000 0.000 0.000
C1 0.500 0.500 0.500
```

ΔE_f (raw) ... 1.026 eV per atom

***

A plane-wave DFT calculation with GGA-PBEsol was carried out for an optimized crystal structure of Ca2SnC.

Structure (CIF):
```
data_Ca2SnC
_chemical_formula_sum 'Ca2 Sn1 C1'
_cell_length_a 4.999
_cell_length_b 4.999
_cell_length_c 4.999
_cell_angle_alpha 60.00
_cell_angle_beta 60.00
_cell_angle_gamma 60.00
_space_group_name_H-M_alt 'P 1'
_space_group_IT_number 1
loop_
_space_group_symop_operation_xyz
'x,y,z'
loop_
_atom_site_label
_atom_site_fract_x
_atom_site_fract_y
_atom_site_fract_z
Ca1 0.250 0.250 0.250
Ca2 0.750 0.750 0.750
Sn1 0.000 0.000 0.000
C1 0.500 0.500 0.500
```

Energy of formation from the pure elements ... 0.576 eV per atom

***

A plane-wave DFT calculation with GGA-PBEsol was carried out for an optimized crystal structure of CaSnC3.

Structure (CIF):
```
data_CaSnC3
_chemical_formula_sum 'Ca1 Sn1 C3'
_cell_length_a 4.295
_cell_length_b 4.295
_cell_length_c 4.295
_cell_angle_alpha 90.00
_cell_angle_beta 90.00
_cell_angle_gamma 90.00
_space_group_name_H-M_alt 'P 1'
_space_group_IT_number 1
loop_
_space_group_symop_operation_xyz
'x,y,z'
loop_
_atom_site_label
_atom_site_fract_x
_atom_site_fract_y
_atom_site_fract_z
Ca1 0.000 0.000 0.000
Sn1 0.500 0.500 0.500
C1 0.000 0.500 0.500
C2 0.500 0.000 0.500
C3 0.500 0.500 0.000
```

Energy of formation from the pure elements ... 2.103 eV per atom

***

A plane-wave DFT calculation with GGA-PBEsol was carried out for an optimized crystal structure of Sr2CaC.

Structure (CIF):
```
data_Sr2CaC
_chemical_formula_sum 'Sr4 Ca2 C2'
_cell_length_a 7.709
_cell_length_b 7.709
_cell_length_c 7.709
_cell_angle_alpha 96.03
_cell_angle_beta 96.03
_cell_angle_gamma 142.18
_space_group_name_H-M_alt 'P 1'
_space_group_IT_number 1
loop_
_space_group_symop_operation_xyz
'x,y,z'
loop_
_atom_site_label
_atom_site_fract_x
_atom_site_fract_y
_atom_site_fract_z
Sr1 0.375 0.205 0.330
Sr2 0.795 0.125 0.170
Sr3 0.875 0.045 0.670
Sr4 0.955 0.625 0.830
Ca1 0.250 0.750 0.500
Ca2 0.500 0.500 0.000
C1 0.000 0.000 0.000
C2 0.750 0.250 0.500
```

Energy of formation from the pure elements ... 0.497 eV per atom